DFT (PBE) results for crystalline Tb2PmYEr6 at its relaxed geometry.

Calculated values
Size of the total moment (μB/f.u.): 0.001
Energy of formation (meV per atom): 118.3

Cell and atoms, written as POSCAR:
```
Tb2PmYEr6
1.0
-8.679 -0.952 3.837
1.794 -8.548 0.434
2.936 5.162 6.419
Tb Pm Y Er
4 2 2 12
Cartesian
-0.463 -3.700 6.577
0.732 -1.610 1.562
-3.487 -0.637 4.113
-4.681 -2.727 9.128
-0.349 -8.466 1.533
-3.600 4.128 9.157
0.300 -0.675 4.934
-4.249 -3.663 5.756
1.921 2.743 5.071
-0.819 1.941 7.431
-5.870 -7.081 5.619
-3.131 -6.279 3.259
0.266 -6.442 4.404
-0.502 -4.930 1.088
-4.215 2.104 6.285
-3.448 0.592 9.601
1.683 -3.625 3.933
-1.539 -3.189 3.549
-5.632 -0.713 6.756
-2.410 -1.149 7.141
```

---

DFT (PBE) results for crystalline Cs6Hg3Pt at its relaxed geometry.

Calculated values
Size of the total moment (μB/f.u.): 0.000
Energy of formation (meV per atom): -122.6

Cell and atoms, written as POSCAR:
```
Cs6Hg3Pt
1.0
8.198 0.000 0.000
0.000 10.260 -0.986
0.000 -1.136 13.290
Cs Hg Pt
12 6 2
Cartesian
7.712 3.384 1.016
7.253 2.789 5.365
6.992 0.838 10.369
1.206 8.286 1.935
0.945 6.336 6.938
0.486 5.740 11.287
4.585 7.946 7.168
5.044 7.351 11.517
5.305 6.536 3.231
2.893 2.588 9.073
3.154 1.773 0.787
3.613 1.178 5.136
2.307 4.464 4.003
4.099 5.130 -0.493
5.891 4.661 8.301
1.792 9.026 10.154
0.000 -0.568 6.645
6.406 0.099 2.149
4.099 4.562 6.152
0.000 0.000 0.000
```